# GaNi6B2

GaNi6B2 after structural relaxation (PBE-GGA, Alexandria).

Values from the calculation:
The formation energy from the elements is -0.283 eV/atom.

POSCAR file:
```
GaNi6B2
1.0
0.086 0.427 -6.147
-5.126 -2.601 2.222
0.082 5.586 2.602
Ni B Ga
12 4 2
Direct
0.788 0.760 0.548
0.693 0.017 0.324
0.105 0.295 0.811
0.307 0.983 0.676
0.516 0.705 0.811
0.484 0.295 0.189
0.307 0.630 0.324
0.212 0.240 0.452
0.693 0.370 0.676
0.895 0.705 0.189
0.788 0.240 0.029
0.212 0.760 0.971
0.500 0.381 0.881
0.354 0.000 0.354
0.646 0.000 0.646
0.500 0.619 0.119
0.000 0.000 0.000
0.000 0.500 0.500
```